No. 1
Computed, not measured: crystalline GdNiH2 at its relaxed geometry at the PBE-GGA level of DFT.

abc: 5.821 5.821 5.821
angles: 30.19 30.19 30.19
Atoms (fractional coordinates):
Gd (0.000, 0.000, 0.000)
Ni (0.500, 0.500, 0.500)
H (0.135, 0.135, 0.135)
H (0.865, 0.865, 0.865)

Computed properties:
uncorrected energy: -26.0 eV for the cell shown
SG: R-3m, No. 166
size of the total moment: 7.5 Bohr magnetons per cell


No. 2
Computed, not measured: crystalline Tb2ZnTe at its relaxed geometry at the PBE-GGA level of DFT.

abc: 11.972 11.972 4.313
angles: 90.00 90.00 159.56
Atoms (fractional coordinates):
Tb (0.062, 0.938, 0.750)
Tb (0.332, 0.668, 0.750)
Tb (0.668, 0.332, 0.250)
Tb (0.938, 0.062, 0.250)
Zn (0.462, 0.538, 0.750)
Zn (0.538, 0.462, 0.250)
Te (0.195, 0.805, 0.750)
Te (0.805, 0.195, 0.250)

Computed properties:
excess energy over the best structure of this formula in the dataset: 0 meV/atom
formation energy without anion corrections: -0.820 eV/atom
uncorrected energy: -33.9 eV for the cell shown
SG: Cmcm, No. 63
size of the total moment: 0.0 Bohr magnetons per cell


No. 3
Computed, not measured: crystalline ZrReSi2 at its relaxed geometry at the PBE-GGA level of DFT.

abc: 4.479 4.479 4.479
angles: 60.00 60.00 60.00
Atoms (fractional coordinates):
Zr (0.000, 0.000, 0.000)
Re (0.750, 0.750, 0.750)
Si (0.250, 0.250, 0.250)
Si (0.500, 0.500, 0.500)

Computed properties:
formation energy without anion corrections: 0.038 eV/atom
uncorrected energy: -31.7 eV for the cell shown
SG: F-43m, No. 216
size of the total moment: 0.0 Bohr magnetons per cell


No. 4
Computed, not measured: crystalline Pm2GeSbRh6 at its relaxed geometry at the PBE-GGA level of DFT.

abc: 6.360 6.388 6.974
angles: 65.20 64.80 61.01
Atoms (fractional coordinates):
Pm (0.246, 0.244, 0.256)
Pm (0.754, 0.756, 0.744)
Ge (0.500, 0.500, 0.500)
Sb (0.000, 0.000, 0.000)
Rh (0.165, 0.739, 0.342)
Rh (0.254, 0.257, 0.675)
Rh (0.260, 0.840, 0.653)
Rh (0.740, 0.160, 0.347)
Rh (0.746, 0.743, 0.325)
Rh (0.835, 0.261, 0.658)

Computed properties:
formation energy without anion corrections: -0.416 eV/atom
uncorrected energy: -66.5 eV for the cell shown
SG: P-1, No. 2
size of the total moment: 0.0 Bohr magnetons per cell


No. 5
Computed, not measured: crystalline KTaW2 at its relaxed geometry at the PBE-GGA level of DFT.

abc: 3.194 3.708 8.466
angles: 90.00 90.00 90.00
Atoms (fractional coordinates):
K (0.000, 0.000, 0.000)
Ta (0.500, 0.500, 0.369)
W (0.000, 0.000, 0.523)
W (0.500, 0.500, 0.662)

Computed properties:
excess energy over the best structure of this formula in the dataset: 237 meV/atom
uncorrected energy: -35.0 eV for the cell shown
SG: Pmm2, No. 25
size of the total moment: 0.0 Bohr magnetons per cell


No. 6
Computed, not measured: crystalline Tl8HgAs2 at its relaxed geometry at the PBE-GGA level of DFT.

abc: 6.791 6.926 8.838
angles: 103.88 100.24 116.97
Atoms (fractional coordinates):
Tl (0.000, 0.000, 0.000)
Tl (0.007, 0.016, 0.614)
Tl (0.185, 0.369, 0.394)
Tl (0.425, 0.591, 0.826)
Tl (0.490, 0.955, 0.602)
Tl (0.580, 0.085, 0.216)
Tl (0.607, 0.612, 0.225)
Tl (0.972, 0.473, 0.993)
Hg (0.812, 0.492, 0.608)
As (0.136, 0.887, 0.303)
As (0.447, 0.195, 0.914)

Computed properties:
uncorrected energy: -28.3 eV for the cell shown
SG: P1, No. 1
size of the total moment: 0.0 Bohr magnetons per cell


No. 7
Computed, not measured: crystalline NaPr2Ag6 at its relaxed geometry at the PBE-GGA level of DFT.

abc: 8.497 8.497 3.371
angles: 90.00 90.00 119.94
Atoms (fractional coordinates):
Na (0.000, 0.000, 0.000)
Pr (0.333, 0.667, 0.000)
Pr (0.667, 0.333, 0.000)
Ag (0.000, 0.331, 0.500)
Ag (0.000, 0.669, 0.500)
Ag (0.331, 0.000, 0.500)
Ag (0.331, 0.331, 0.500)
Ag (0.669, 0.000, 0.500)
Ag (0.669, 0.669, 0.500)

Computed properties:
uncorrected energy: -29.3 eV for the cell shown
SG: Cmmm, No. 65
size of the total moment: 0.0 Bohr magnetons per cell


No. 8
Computed, not measured: crystalline Cs2Pr2Br7 at its relaxed geometry at the PBE-GGA level of DFT.

abc: 7.418 7.418 8.276
angles: 90.00 90.00 97.90
Atoms (fractional coordinates):
Cs (0.226, 0.226, 0.000)
Cs (0.774, 0.774, 0.000)
Pr (0.280, 0.720, 0.500)
Pr (0.720, 0.280, 0.500)
Br (0.000, 0.000, 0.500)
Br (0.000, 0.500, 0.277)
Br (0.000, 0.500, 0.723)
Br (0.500, 0.000, 0.277)
Br (0.500, 0.000, 0.723)
Br (0.500, 0.500, 0.286)
Br (0.500, 0.500, 0.714)

Computed properties:
formation energy without anion corrections: -1.741 eV/atom
uncorrected energy: -42.1 eV for the cell shown
SG: Cmmm, No. 65
size of the total moment: 1.0 Bohr magnetons per cell


No. 9
Computed, not measured: crystalline LaTa3Co at its relaxed geometry at the PBE-GGA level of DFT.

abc: 4.748 4.748 4.748
angles: 90.00 90.00 90.00
Atoms (fractional coordinates):
La (0.000, 0.000, 0.000)
Ta (0.000, 0.500, 0.500)
Ta (0.500, 0.000, 0.500)
Ta (0.500, 0.500, 0.000)
Co (0.500, 0.500, 0.500)

Computed properties:
excess energy over the best structure of this formula in the dataset: 0 meV/atom
uncorrected energy: -44.5 eV for the cell shown
SG: Pm-3m, No. 221
size of the total moment: 0.0 Bohr magnetons per cell


No. 10
Computed, not measured: crystalline Y2MgP3Ir12 at its relaxed geometry at the PBE-GGA level of DFT.

abc: 6.718 6.718 6.718
angles: 83.80 83.80 83.80
Atoms (fractional coordinates):
Y (0.132, 0.132, 0.132)
Y (0.868, 0.868, 0.868)
Mg (0.500, 0.500, 0.500)
P (0.000, 0.500, 0.500)
P (0.500, 0.000, 0.500)
P (0.500, 0.500, 0.000)
Ir (0.124, 0.124, 0.606)
Ir (0.124, 0.606, 0.124)
Ir (0.174, 0.675, 0.675)
Ir (0.325, 0.325, 0.826)
Ir (0.325, 0.826, 0.325)
Ir (0.394, 0.876, 0.876)
Ir (0.606, 0.124, 0.124)
Ir (0.675, 0.174, 0.675)
Ir (0.675, 0.675, 0.174)
Ir (0.826, 0.325, 0.325)
Ir (0.876, 0.394, 0.876)
Ir (0.876, 0.876, 0.394)

Computed properties:
uncorrected energy: -139.2 eV for the cell shown
SG: R-3m, No. 166
size of the total moment: 0.0 Bohr magnetons per cell


No. 11
Computed, not measured: crystalline CrSiP2Cl at its relaxed geometry at the PBE-GGA level of DFT.

abc: 4.490 4.490 4.793
angles: 90.00 90.00 90.00
Atoms (fractional coordinates):
Cr (0.000, 0.000, 0.000)
Si (0.500, 0.500, 0.500)
P (0.000, 0.500, 0.000)
P (0.500, 0.000, 0.000)
Cl (0.000, 0.000, 0.500)

Computed properties:
excess energy over the best structure of this formula in the dataset: 0 meV/atom
formation energy without anion corrections: 0.548 eV/atom
uncorrected energy: -25.0 eV for the cell shown
SG: P4/mmm, No. 123
size of the total moment: 1.7 Bohr magnetons per cell


No. 12
Computed, not measured: crystalline Sr3MnPt at its relaxed geometry at the PBE-GGA level of DFT.

abc: 5.855 5.855 5.855
angles: 90.00 90.00 90.00
Atoms (fractional coordinates):
Sr (0.000, 0.000, 0.500)
Sr (0.000, 0.500, 0.000)
Sr (0.500, 0.000, 0.000)
Mn (0.500, 0.500, 0.500)
Pt (0.000, 0.000, 0.000)

Computed properties:
excess energy over the best structure of this formula in the dataset: 0 meV/atom
uncorrected energy: -20.3 eV for the cell shown
SG: Pm-3m, No. 221
size of the total moment: 4.4 Bohr magnetons per cell


No. 13
Computed, not measured: crystalline AcTb2Co at its relaxed geometry at the PBE-GGA level of DFT.

abc: 6.505 6.505 9.756
angles: 90.00 90.00 146.28
Atoms (fractional coordinates):
Ac (0.083, 0.917, 0.750)
Ac (0.917, 0.083, 0.250)
Tb (0.354, 0.646, 0.575)
Tb (0.354, 0.646, 0.925)
Tb (0.646, 0.354, 0.075)
Tb (0.646, 0.354, 0.425)
Co (0.239, 0.761, 0.250)
Co (0.761, 0.239, 0.750)

Computed properties:
excess energy over the best structure of this formula in the dataset: 0 meV/atom
uncorrected energy: -41.5 eV for the cell shown
SG: Cmcm, No. 63
size of the total moment: 0.0 Bohr magnetons per cell


No. 14
Computed, not measured: crystalline Ce2LuPu at its relaxed geometry at the PBE-GGA level of DFT.

abc: 4.854 4.854 4.689
angles: 90.00 90.00 90.00
Atoms (fractional coordinates):
Ce (0.000, 0.500, 0.000)
Ce (0.500, 0.000, 0.000)
Lu (0.000, 0.000, 0.500)
Pu (0.500, 0.500, 0.500)

Computed properties:
excess energy over the best structure of this formula in the dataset: 2 meV/atom
uncorrected energy: -30.3 eV for the cell shown
SG: P4/mmm, No. 123
size of the total moment: 7.2 Bohr magnetons per cell


No. 15
Computed, not measured: crystalline MnInTc at its relaxed geometry at the PBE-GGA level of DFT.

abc: 4.283 4.283 7.146
angles: 107.38 107.38 60.00
Atoms (fractional coordinates):
Mn (0.139, 0.139, 0.418)
Mn (0.861, 0.861, 0.582)
In (0.292, 0.292, 0.873)
In (0.708, 0.708, 0.127)
Tc (0.441, 0.441, 0.324)
Tc (0.559, 0.559, 0.676)

Computed properties:
excess energy over the best structure of this formula in the dataset: 139 meV/atom
uncorrected energy: -42.7 eV for the cell shown
SG: C2/m, No. 12
size of the total moment: 4.3 Bohr magnetons per cell


No. 16
Computed, not measured: crystalline AcCdAs2 at its relaxed geometry at the PBE-GGA level of DFT.

abc: 5.879 5.879 5.879
angles: 48.31 48.31 48.31
Atoms (fractional coordinates):
Ac (0.000, 0.000, 0.000)
Cd (0.500, 0.500, 0.500)
As (0.227, 0.227, 0.227)
As (0.773, 0.773, 0.773)

Computed properties:
excess energy over the best structure of this formula in the dataset: 30 meV/atom
uncorrected energy: -16.6 eV for the cell shown
SG: R-3m, No. 166
size of the total moment: 0.0 Bohr magnetons per cell


No. 17
Computed, not measured: crystalline LiLaBr2 at its relaxed geometry at the PBE-GGA level of DFT.

abc: 5.990 5.990 3.763
angles: 106.84 106.84 100.89
Atoms (fractional coordinates):
Li (0.000, 0.000, 0.000)
La (0.500, 0.500, 0.000)
Br (0.000, 0.500, 0.000)
Br (0.500, 0.000, 0.000)

Computed properties:
excess energy over the best structure of this formula in the dataset: 318 meV/atom
formation energy without anion corrections: -1.080 eV/atom
uncorrected energy: -14.5 eV for the cell shown
SG: C2/m, No. 12
size of the total moment: 0.0 Bohr magnetons per cell


No. 18
Computed, not measured: crystalline TbPuPaO6 at its relaxed geometry at the PBE-GGA level of DFT.

abc: 5.758 5.758 9.505
angles: 90.00 90.00 120.00
Atoms (fractional coordinates):
Tb (0.333, 0.667, 0.250)
Tb (0.667, 0.333, 0.750)
Pu (0.333, 0.667, 0.750)
Pu (0.667, 0.333, 0.250)
Pa (0.000, 0.000, 0.000)
Pa (0.000, 0.000, 0.500)
O (0.010, 0.328, 0.628)
O (0.010, 0.683, 0.872)
O (0.317, 0.328, 0.872)
O (0.317, 0.990, 0.628)
O (0.328, 0.010, 0.128)
O (0.328, 0.317, 0.372)
O (0.672, 0.683, 0.628)
O (0.672, 0.990, 0.872)
O (0.683, 0.010, 0.372)
O (0.683, 0.672, 0.128)
O (0.990, 0.317, 0.128)
O (0.990, 0.672, 0.372)

Computed properties:
formation energy without anion corrections: -3.296 eV/atom
uncorrected energy: -175.7 eV for the cell shown
SG: P-31c, No. 163
size of the total moment: 8.0 Bohr magnetons per cell


No. 19
Computed, not measured: crystalline CeHfNp2P4 at its relaxed geometry at the PBE-GGA level of DFT.

abc: 6.757 3.919 6.832
angles: 90.00 109.32 90.00
Atoms (fractional coordinates):
Ce (0.000, 0.000, 0.000)
Hf (0.000, 0.500, 0.500)
Np (0.500, 0.000, 0.500)
Np (0.500, 0.500, 0.000)
P (0.242, 0.000, 0.734)
P (0.250, 0.500, 0.265)
P (0.750, 0.500, 0.735)
P (0.758, 0.000, 0.266)

Computed properties:
uncorrected energy: -72.4 eV for the cell shown
SG: P2/m, No. 10
size of the total moment: 8.1 Bohr magnetons per cell


No. 20
Computed, not measured: crystalline Na6I2O at its relaxed geometry at the PBE-GGA level of DFT.

abc: 7.031 7.031 7.031
angles: 60.00 60.00 60.00
Atoms (fractional coordinates):
Na (0.236, 0.236, 0.764)
Na (0.236, 0.764, 0.236)
Na (0.236, 0.764, 0.764)
Na (0.764, 0.236, 0.236)
Na (0.764, 0.236, 0.764)
Na (0.764, 0.764, 0.236)
I (0.250, 0.250, 0.250)
I (0.750, 0.750, 0.750)
O (0.000, 0.000, 0.000)

Computed properties:
formation energy without anion corrections: -0.902 eV/atom
uncorrected energy: -24.1 eV for the cell shown
SG: Fm-3m, No. 225
size of the total moment: 0.0 Bohr magnetons per cell